[1]
Computed, not measured: an optimized crystal structure of BeP2 at the PBE level of DFT.

The space group is P-3m1 (No. 164) and the conventional cell measures 2.6440, 2.6440 and 7.1392 Å, with angles of 90.00, 90.00 and 120.00 degrees. The distinct sites, in fractional coordinates, are Be at (0.0000, 0.0000, 0.0000) and P at (0.3333, 0.6667, 0.2503).

The calculation puts the formation energy at 0.381 eV/atom. The calculation puts the total energy at -13.40 eV/cell. For the energy above the most stable polymorph in this dataset, the calculation gives 0.706 eV/atom.

[2]
Computed, not measured: an optimized crystal structure of BeP at the PBE level of DFT.

The space group is P-3m1 (No. 164) and the conventional cell measures 3.5179, 3.5179 and 15.7145 Å, with angles of 90.00, 90.00 and 120.00 degrees. The distinct sites, in fractional coordinates, are Be at (0.0000, 0.0000, 0.1183), Be at (0.3333, 0.6667, 0.2060), Be at (0.3333, 0.6667, 0.4481), P at (0.0000, 0.0000, 0.2533), P at (0.3333, 0.6667, 0.0632) and P at (0.3333, 0.6667, 0.5907).

The calculation puts the formation energy at 0.103 eV/atom. The calculation puts the total energy at -53.58 eV/cell. For the energy above the most stable polymorph in this dataset, the calculation gives 0.343 eV/atom.

[3]
Computed, not measured: an optimized crystal structure of BeP2 at the PBE level of DFT.

The space group is I4_1/amd (No. 141, origin choice 2) and the conventional cell measures 3.0397, 3.0397 and 22.6821 Å, with angles of 90.00, 90.00 and 90.00 degrees. The distinct sites, in fractional coordinates, are Be at (0.0000, 0.2500, 0.3750) and P at (0.0000, 0.2500, 0.8276).

The calculation puts the formation energy at 0.321 eV/atom. The calculation puts the total energy at -54.34 eV/cell. For the energy above the most stable polymorph in this dataset, the calculation gives 0.647 eV/atom.

[4]
Computed, not measured: an optimized crystal structure of BeP5 at the PBE level of DFT.

The space group is P-62m (No. 189) and the conventional cell measures 5.6500, 5.6500 and 3.0726 Å, with angles of 90.00, 90.00 and 120.00 degrees. The distinct sites, in fractional coordinates, are Be at (0.0000, 0.0000, 0.0000), P at (0.0000, 0.6743, 0.5000) and P at (0.3333, 0.6667, 0.0000).

The calculation puts the formation energy at 0.407 eV/atom. The calculation puts the total energy at -28.33 eV/cell. For the energy above the most stable polymorph in this dataset, the calculation gives 0.217 eV/atom.

Number 1: Fermi-level density of states 1.4 states/eV per cell, total moment 0.0 μB/f.u.. Number 2: Fermi-level density of states 5.0 states/eV per cell, total moment 0.0 μB/f.u.. Number 3: Fermi-level density of states 3.9 states/eV per cell, total moment 0.0 μB/f.u.. Number 4: Fermi-level density of states 3.0 states/eV per cell, total moment 0.0 μB/f.u..